Entry from the Alexandria database: a geometry-optimized TaCoRu structure (PBE).

Values from the calculation:
D(E_F)   1.02 states/eV per atom
Energy of formation   0.39 eV per atom
Total moment   0.0 μB per formula unit

Cell: 4.1359 4.1359 4.1359 Å, 60.00 60.00 60.00°
Closest atoms and distances in Å follow each position.
Element x y z (fractional)
Co 0.0000 0.0000 0.0000  4 Ta 2.53
Ta 0.7500 0.7500 0.7500  4 Ru 2.53, 4 Co 2.53
Ru 0.5000 0.5000 0.5000  4 Ta 2.53

Entry from the Alexandria database: a geometry-optimized TaCoRu structure (PBE).

Values from the calculation:
D(E_F)   0.66 states/eV per atom
Energy of formation   -0.30 eV per atom
Total moment   0.0 μB per formula unit

Cell: 4.2558 4.2558 5.3336 Å, 90.00 90.00 120.00°
Closest atoms and distances in Å follow each position.
Element x y z (fractional)
Co 0.6666 0.8334 0.7500  5 Ta 2.46-2.67
Co 0.3334 0.1666 0.2500  5 Ta 2.46-2.67
Ta 0.6668 0.8332 0.2500  5 Co 2.46-2.67
Ta 0.3332 0.1668 0.7500  5 Co 2.46-2.67
Ru 0.0000 0.5000 0.5000  2 Ru 2.67, 6 Ta 2.80, 6 Co 2.80
Ru 0.0000 0.5000 0.0000  2 Ru 2.67, 6 Ta 2.80, 6 Co 2.80

Entry from the Alexandria database: a geometry-optimized TaCoRu2 structure (PBE).

Values from the calculation:
D(E_F)   1.36 states/eV per atom
Energy of formation   0.19 eV per atom
Total moment   0.7 μB per formula unit

Cell: 8.9640 8.9640 8.9640 Å, 17.58 17.58 17.58°
Closest atoms and distances in Å follow each position.
Element x y z (fractional)
Co 0.7467 0.7467 0.7467  3 Ru 2.59, 3 Ta 2.72, 6 Co 2.74
Ta 0.4968 0.4968 0.4968  3 Co 2.72, 6 Ta 2.74, 3 Ru 2.87
Ru 0.0024 0.0024 0.0024  3 Co 2.59, 9 Ru 2.68-2.74
Ru 0.2541 0.2541 0.2541  9 Ru 2.68-2.74, 3 Ta 2.87

Entry from the Alexandria database: a geometry-optimized TaCoRu2 structure (PBE).

Values from the calculation:
D(E_F)   1.10 states/eV per atom
Energy of formation   0.06 eV per atom
Total moment   1.0 μB per formula unit

Cell: 2.7670 2.7670 7.4204 Å, 90.00 90.00 90.00°
Closest atoms and distances in Å follow each position.
Element x y z (fractional)
Ru 0.0000 0.0000 0.5279  4 Co 2.56, 4 Ru 2.77, 4 Ta 2.84
Ru 0.0000 0.0000 0.9721  4 Co 2.56, 4 Ru 2.77, 4 Ta 2.84
Co 0.5000 0.5000 0.7500  8 Ru 2.56, 4 Co 2.77
Ta 0.5000 0.5000 0.2500  4 Ta 2.77, 8 Ru 2.84

Entry from the Alexandria database: a geometry-optimized TaCoRu2 structure (PBE).

Values from the calculation:
D(E_F)   1.19 states/eV per atom
Energy of formation   0.41 eV per atom
Total moment   0.0 μB per formula unit

Cell: 3.7674 3.7674 9.0850 Å, 78.03 78.03 90.00°
Closest atoms and distances in Å follow each position.
Element x y z (fractional)
Co 0.2500 0.7500 0.5000  4 Ru 2.50, 4 Ta 2.66
Co 0.5000 0.5000 0.0000  4 Ru 2.50, 4 Ta 2.66
Ru 0.8750 0.8361 0.7500  2 Ru 2.47, 2 Co 2.50, 2 Ta 2.61
Ru 0.3750 0.4139 0.7500  2 Ru 2.47, 2 Co 2.50, 2 Ta 2.61
Ru 0.1639 0.6250 0.2500  2 Ru 2.47, 2 Co 2.50, 2 Ta 2.61
Ru 0.5861 0.1250 0.2500  2 Ru 2.47, 2 Co 2.50, 2 Ta 2.61
Ta 0.0000 0.0000 0.0000  4 Ru 2.61, 4 Co 2.66
Ta 0.7500 0.2500 0.5000  4 Ru 2.61, 4 Co 2.66

Entry from the Alexandria database: a geometry-optimized TaCoRu2 structure (PBE).

Values from the calculation:
D(E_F)   1.09 states/eV per atom
Energy of formation   -0.05 eV per atom
Total moment   0.9 μB per formula unit

Cell: 4.6140 4.6140 4.7111 Å, 79.48 79.48 35.33°
Closest atoms and distances in Å follow each position.
Element x y z (fractional)
Co 0.7500 0.7500 0.7500  6 Ru 2.61-2.68, 4 Ta 2.74, 2 Co 2.80
Ta 0.2500 0.2500 0.2500  6 Ru 2.70-2.75, 4 Co 2.74, 2 Ta 2.80
Ru 0.4936 0.4936 0.5226  4 Ru 2.58-2.80, 3 Co 2.61-2.68, 3 Ta 2.70-2.75
Ru 0.0064 0.0064 0.9774  4 Ru 2.58-2.80, 3 Co 2.61-2.68, 3 Ta 2.70-2.75

What is the D(E_F) in the fourth record?
1.10 states/eV per atom